This record from the Alexandria database describes CaOsSeN2 after structural relaxation. The functional is GGA-PBE.

Calculated values
magnetization = 0.00 μB per atom
raw formation energy = -140 meV per atom
distance to the lowest polymorph of the same formula = 0 meV/atom

Lattice parameters (Å, degrees): 3.8914 3.8914 5.4125 90.00 90.00 90.00
With the nearest neighbours (Å) after each atom.
Fractional coordinates of all 5 atoms:
Se (0.0000, 0.0000, 0.5000)  2 Os 2.71, 4 Ca 2.75
Os (0.0000, 0.0000, 0.0000)  4 N 1.95
N (0.5000, 0.0000, 0.0000)  2 Os 1.95
N (0.0000, 0.5000, 0.0000)  2 Os 1.95
Ca (0.5000, 0.5000, 0.5000)  4 Se 2.75